! LiTl3H2F6 | the Alexandria database | PBE | relaxed; values from VASP
&SYSTEM
  ibrav = 0, nat = 12, ntyp = 4
/
ATOMIC_SPECIES
Li 6.94 Li.upf
Tl 204.38 Tl.upf
H 1.01 H.upf
F 19.00 F.upf
ATOMIC_POSITIONS crystal
Li 0.0000 0.0000 0.5000
Tl 0.3333 0.6667 0.7167
Tl 0.6667 0.3333 0.2833
Tl 0.0000 0.0000 0.0000
H 0.6667 0.3333 0.6844
H 0.3333 0.6667 0.3156
F 0.6238 0.8119 0.3215
F 0.1881 0.3762 0.3215
F 0.1881 0.8119 0.3215
F 0.8119 0.6238 0.6785
F 0.3762 0.1881 0.6785
F 0.8119 0.1881 0.6785
CELL_PARAMETERS angstrom
5.5277 0.0000 0.0000
-2.7638 4.7871 0.0000
0.0000 0.0000 6.8161
! uncorrected energy	-3.976	eV/atom
! density of states at the Fermi level	0.000	states/eV per cell
! SG	P-3m1
! calculated density	6.777	g/cm³
! spin magnetization	0.0	μB per formula unit



! CsCo2TeN | the Alexandria database | PBE | relaxed; values from VASP
&SYSTEM
  ibrav = 0, nat = 5, ntyp = 4
/
ATOMIC_SPECIES
Cs 132.91 Cs.upf
Te 127.60 Te.upf
Co 58.93 Co.upf
N 14.01 N.upf
ATOMIC_POSITIONS crystal
Cs 0.0000 0.0000 0.0000
Te 0.0000 0.5000 0.0000
Co 0.0000 0.0000 0.5000
Co 0.5000 0.0000 0.0000
N 0.5000 0.5000 0.5000
CELL_PARAMETERS angstrom
-1.2756 1.8560 -4.4420
-6.0883 -3.6308 0.2313
-2.2135 3.8546 2.2462
! uncorrected energy	-2.326	eV/atom
! density of states at the Fermi level	5.929	states/eV per cell
! uncorrected formation energy	2.9804	eV per atom
! SG	P4/mmm
! calculated density	3.704	g/cm³
! spin magnetization	4.8	μB per formula unit



! Hf2CdIrBr | the Alexandria database | PBE | relaxed; values from VASP
&SYSTEM
  ibrav = 0, nat = 5, ntyp = 4
/
ATOMIC_SPECIES
Ir 192.22 Ir.upf
Hf 178.49 Hf.upf
Br 79.90 Br.upf
Cd 112.41 Cd.upf
ATOMIC_POSITIONS crystal
Ir 0.5000 0.5000 0.5000
Hf 0.0000 0.0000 0.5000
Hf 0.5000 0.0000 0.0000
Br 0.0000 0.0000 0.0000
Cd 0.0000 0.5000 0.0000
CELL_PARAMETERS angstrom
-0.7543 4.1466 2.3200
-4.2946 -1.7574 1.7447
2.2818 -1.7444 3.8596
! uncorrected energy	-5.170	eV/atom
! density of states at the Fermi level	4.009	states/eV per cell
! uncorrected formation energy	1.1007	eV per atom
! SG	P4/mmm
! calculated density	10.731	g/cm³
! spin magnetization	0.0	μB per formula unit



! GdTh2Zn | the Alexandria database | PBE | relaxed; values from VASP
&SYSTEM
  ibrav = 0, nat = 4, ntyp = 3
/
ATOMIC_SPECIES
Zn 65.41 Zn.upf
Gd 157.25 Gd.upf
Th 232.04 Th.upf
ATOMIC_POSITIONS crystal
Zn 0.5000 0.5000 0.0000
Gd 0.5000 0.5000 0.5000
Th 0.0000 0.0000 0.7896
Th 0.0000 0.0000 0.2104
CELL_PARAMETERS angstrom
-2.9906 1.9759 -0.5945
-1.6100 -1.5798 2.8485
3.1042 6.2729 5.2336
! energy above the lowest structure with this stoichiometry	0	meV/atom
! energy of formation	-18	meV per atom
! uncorrected energy	-7.566	eV/atom
! density of states at the Fermi level	4.929	states/eV per cell
! SG	P4/mmm
! calculated density	9.884	g/cm³
! spin magnetization	7.0	μB per formula unit



! Ir2RuPt | the Alexandria database | PBE | relaxed; values from VASP
&SYSTEM
  ibrav = 0, nat = 4, ntyp = 3
/
ATOMIC_SPECIES
Ru 101.07 Ru.upf
Ir 192.22 Ir.upf
Pt 195.08 Pt.upf
ATOMIC_POSITIONS crystal
Ru 0.5000 0.5000 0.7588
Ir 0.0000 0.0000 0.9955
Ir 0.5000 0.5000 0.2428
Pt 0.0000 0.0000 0.5029
CELL_PARAMETERS angstrom
-2.1390 1.7102 -0.0379
-0.6481 -0.7540 2.5521
4.5096 5.7029 2.8300
! energy above the lowest structure with this stoichiometry	27	meV/atom
! energy of formation	9	meV per atom
! uncorrected energy	-8.251	eV/atom
! density of states at the Fermi level	3.303	states/eV per cell
! SG	P4mm
! calculated density	19.310	g/cm³
! spin magnetization	0.0	μB per formula unit



! SBrO3 | the Alexandria database | PBE | relaxed; values from VASP
&SYSTEM
  ibrav = 0, nat = 5, ntyp = 3
/
ATOMIC_SPECIES
S 32.06 S.upf
O 16.00 O.upf
Br 79.90 Br.upf
ATOMIC_POSITIONS crystal
S 0.5000 0.5000 0.5000
O 0.0000 0.5000 0.0000
O 0.0000 0.0000 0.5000
O 0.5000 0.0000 0.0000
Br 0.0000 0.0000 0.0000
CELL_PARAMETERS angstrom
3.9698 0.0000 0.0000
0.0000 3.9698 0.0000
0.0000 0.0000 3.9698
! uncorrected energy	-2.919	eV/atom
! density of states at the Fermi level	1.833	states/eV per cell
! uncorrected formation energy	1.2155	eV per atom
! SG	Pm-3m
! calculated density	4.246	g/cm³
! spin magnetization	2.8	μB per formula unit



! Ta2Ti3 | the Alexandria database | PBE | relaxed; values from VASP
&SYSTEM
  ibrav = 0, nat = 10, ntyp = 2
/
ATOMIC_SPECIES
Ti 47.87 Ti.upf
Ta 180.95 Ta.upf
ATOMIC_POSITIONS crystal
Ti 0.2499 0.7500 0.7500
Ti 0.7500 0.2501 0.7500
Ti 0.2501 0.2499 0.7500
Ti 0.2500 0.7499 0.2500
Ti 0.7499 0.7501 0.2500
Ti 0.7501 0.2500 0.2500
Ta 0.8104 0.8104 0.5689
Ta 0.3104 0.3104 0.0689
Ta 0.1896 0.1896 0.4311
Ta 0.6896 0.6896 0.9311
CELL_PARAMETERS angstrom
5.6079 0.0000 0.0000
2.8039 4.8565 0.0000
2.8039 1.6188 6.8942
! energy above the lowest structure with this stoichiometry	230	meV/atom
! energy of formation	361	meV per atom
! uncorrected energy	-9.117	eV/atom
! density of states at the Fermi level	18.488	states/eV per cell
! SG	R-3m
! calculated density	8.941	g/cm³
! spin magnetization	1.7	μB per formula unit



! Tb2Pr2ThMg5 | the Alexandria database | PBE | relaxed; values from VASP
&SYSTEM
  ibrav = 0, nat = 20, ntyp = 4
/
ATOMIC_SPECIES
Tb 158.93 Tb.upf
Pr 140.91 Pr.upf
Th 232.04 Th.upf
Mg 24.30 Mg.upf
ATOMIC_POSITIONS crystal
Tb 0.0000 0.1218 0.6218
Tb 0.0000 0.8782 0.3782
Tb 0.0000 0.6218 0.8782
Tb 0.0000 0.3782 0.1218
Pr 0.0000 0.6762 0.1762
Pr 0.0000 0.3238 0.8238
Pr 0.0000 0.1762 0.3238
Pr 0.0000 0.8238 0.6762
Th 0.0000 0.0000 0.0000
Th 0.0000 0.5000 0.5000
Mg 0.5000 0.1973 0.0746
Mg 0.5000 0.8027 0.9254
Mg 0.5000 0.0746 0.8027
Mg 0.5000 0.6973 0.4254
Mg 0.5000 0.9254 0.1973
Mg 0.5000 0.3027 0.5746
Mg 0.5000 0.5746 0.6973
Mg 0.5000 0.4254 0.3027
Mg 0.5000 0.5000 0.0000
Mg 0.5000 0.0000 0.5000
CELL_PARAMETERS angstrom
5.1954 0.0000 0.0000
0.0000 10.6318 0.0000
0.0000 0.0000 10.6318
! energy of formation	78	meV per atom
! uncorrected energy	-3.343	eV/atom
! density of states at the Fermi level	15.972	states/eV per cell
! SG	P4/mbm
! calculated density	5.391	g/cm³
! spin magnetization	0.0	μB per formula unit



! PC3F | the Alexandria database | PBE | relaxed; values from VASP
&SYSTEM
  ibrav = 0, nat = 5, ntyp = 3
/
ATOMIC_SPECIES
P 30.97 P.upf
C 12.01 C.upf
F 19.00 F.upf
ATOMIC_POSITIONS crystal
P 0.5000 0.5000 0.5000
C 0.0000 0.5000 0.0000
C 0.0000 0.0000 0.5000
C 0.5000 0.0000 0.0000
F 0.0000 0.0000 0.0000
CELL_PARAMETERS angstrom
3.7537 0.0000 0.0000
0.0000 3.7537 0.0000
0.0000 0.0000 3.7537
! energy above the lowest structure with this stoichiometry	1365	meV/atom
! uncorrected energy	-3.620	eV/atom
! density of states at the Fermi level	3.116	states/eV per cell
! uncorrected formation energy	3.3710	eV per atom
! SG	Pm-3m
! calculated density	2.700	g/cm³
! spin magnetization	0.0	μB per formula unit



! LaRe2Mo | the Alexandria database | PBE | relaxed; values from VASP
&SYSTEM
  ibrav = 0, nat = 4, ntyp = 3
/
ATOMIC_SPECIES
La 138.91 La.upf
Mo 95.94 Mo.upf
Re 186.21 Re.upf
ATOMIC_POSITIONS crystal
La 0.5000 0.0000 0.5000
Mo 0.0000 0.5000 0.5000
Re 0.0000 0.0000 0.0000
Re 0.5000 0.5000 0.0000
CELL_PARAMETERS angstrom
5.3957 -0.2223 0.0000
-1.5215 5.1815 0.0000
0.0000 0.0000 2.6837
! energy above the lowest structure with this stoichiometry	508	meV/atom
! energy of formation	873	meV per atom
! uncorrected energy	-9.291	eV/atom
! density of states at the Fermi level	5.419	states/eV per cell
! SG	Cmmm
! calculated density	13.604	g/cm³
! spin magnetization	0.0	μB per formula unit



! NaLiPb2 | the Alexandria database | PBE | relaxed; values from VASP
&SYSTEM
  ibrav = 0, nat = 4, ntyp = 3
/
ATOMIC_SPECIES
Pb 207.20 Pb.upf
Na 22.99 Na.upf
Li 6.94 Li.upf
ATOMIC_POSITIONS crystal
Pb 0.0000 0.0000 0.7833
Pb 0.0000 0.0000 0.2167
Na 0.5000 0.5000 0.5000
Li 0.5000 0.5000 0.0000
CELL_PARAMETERS angstrom
3.6531 0.0000 0.0000
0.0000 3.6531 0.0000
0.0000 0.0000 7.6653
! energy above the lowest structure with this stoichiometry	0	meV/atom
! energy of formation	-211	meV per atom
! uncorrected energy	-2.873	eV/atom
! density of states at the Fermi level	2.042	states/eV per cell
! SG	P4/mmm
! calculated density	7.213	g/cm³
! spin magnetization	0.0	μB per formula unit



! Tb2SmHo5Sc | the Alexandria database | PBE | relaxed; values from VASP
&SYSTEM
  ibrav = 0, nat = 18, ntyp = 4
/
ATOMIC_SPECIES
Tb 158.93 Tb.upf
Sm 150.36 Sm.upf
Ho 164.93 Ho.upf
Sc 44.96 Sc.upf
ATOMIC_POSITIONS crystal
Tb 0.8885 0.7770 0.8145
Tb 0.1138 0.2276 0.7353
Tb 0.1115 0.2230 0.3145
Tb 0.8862 0.7724 0.2353
Sm 0.5877 0.1754 0.9551
Sm 0.4123 0.8246 0.4551
Ho 0.3766 0.7532 0.0201
Ho 0.7233 0.4466 0.8213
Ho 0.4812 0.9623 0.7390
Ho 0.2985 0.5970 0.7051
Ho 0.9816 0.9633 0.5192
Ho 0.6234 0.2468 0.5201
Ho 0.2767 0.5534 0.3213
Ho 0.5188 0.0377 0.2390
Ho 0.7015 0.4030 0.2051
Ho 0.0184 0.0367 0.0192
Sc 0.8038 0.6076 0.5145
Sc 0.1962 0.3924 0.0145
CELL_PARAMETERS angstrom
5.5437 0.0000 0.0000
-2.7718 9.8360 0.0000
0.0000 0.0000 10.3637
! energy of formation	167	meV per atom
! uncorrected energy	-4.633	eV/atom
! density of states at the Fermi level	27.769	states/eV per cell
! SG	Cmc2_1
! calculated density	7.862	g/cm³
! spin magnetization	0.0	μB per formula unit



! Cr3WS | the Alexandria database | PBE | relaxed; values from VASP
&SYSTEM
  ibrav = 0, nat = 5, ntyp = 3
/
ATOMIC_SPECIES
Cr 52.00 Cr.upf
S 32.06 S.upf
W 183.84 W.upf
ATOMIC_POSITIONS crystal
Cr 0.0000 0.5000 0.0000
Cr 0.0000 0.0000 0.5000
Cr 0.5000 0.0000 0.0000
S 0.0000 0.0000 0.0000
W 0.5000 0.5000 0.5000
CELL_PARAMETERS angstrom
4.1018 0.0000 0.0000
0.0000 4.1018 0.0000
0.0000 0.0000 4.1018
! energy above the lowest structure with this stoichiometry	0	meV/atom
! uncorrected energy	-8.656	eV/atom
! density of states at the Fermi level	4.748	states/eV per cell
! uncorrected formation energy	0.5344	eV per atom
! SG	Pm-3m
! calculated density	8.948	g/cm³
! spin magnetization	0.0	μB per formula unit



! TbCe6N8 | the Alexandria database | PBE | relaxed; values from VASP
&SYSTEM
  ibrav = 0, nat = 15, ntyp = 3
/
ATOMIC_SPECIES
Tb 158.93 Tb.upf
Ce 140.12 Ce.upf
N 14.01 N.upf
ATOMIC_POSITIONS crystal
Tb 0.0000 0.0000 0.0000
Ce 0.0000 0.5000 0.5000
Ce 0.5000 0.0000 0.0000
Ce 0.5000 0.5000 0.0000
Ce 0.0000 0.0000 0.5000
Ce 0.0000 0.5000 0.0000
Ce 0.5000 0.0000 0.5000
N 0.7500 0.7500 0.7500
N 0.2500 0.2500 0.2500
N 0.7644 0.2356 0.2356
N 0.2356 0.7644 0.7644
N 0.2356 0.2356 0.7644
N 0.7644 0.7644 0.2356
N 0.7644 0.2356 0.7644
N 0.2356 0.7644 0.2356
CELL_PARAMETERS angstrom
6.1296 0.0000 3.5389
2.0432 5.7791 3.5389
0.0000 0.0000 7.0779
! uncorrected energy	-8.403	eV/atom
! density of states at the Fermi level	15.167	states/eV per cell
! uncorrected formation energy	-1.2808	eV per atom
! SG	Fm-3m
! calculated density	7.363	g/cm³
! spin magnetization	2.1	μB per formula unit



! BaSmIn2 | the Alexandria database | PBE | relaxed; values from VASP
&SYSTEM
  ibrav = 0, nat = 4, ntyp = 3
/
ATOMIC_SPECIES
Ba 137.33 Ba.upf
Sm 150.36 Sm.upf
In 114.82 In.upf
ATOMIC_POSITIONS crystal
Ba 0.5000 0.5000 0.5000
Sm 0.0000 0.0000 0.0000
In 0.7433 0.7433 0.7700
In 0.2567 0.2567 0.2300
CELL_PARAMETERS angstrom
3.9517 0.0000 0.0000
1.9758 3.4222 0.0000
1.9758 1.1407 10.4151
! energy of formation	-205	meV per atom
! uncorrected energy	-3.234	eV/atom
! density of states at the Fermi level	4.597	states/eV per cell
! SG	R-3m
! calculated density	6.099	g/cm³
! spin magnetization	0.0	μB per formula unit



! TmScTlOs | the Alexandria database | PBE | relaxed; values from VASP
&SYSTEM
  ibrav = 0, nat = 4, ntyp = 4
/
ATOMIC_SPECIES
Sc 44.96 Sc.upf
Tl 204.38 Tl.upf
Tm 168.93 Tm.upf
Os 190.23 Os.upf
ATOMIC_POSITIONS crystal
Sc 0.2500 0.2500 0.2500
Tl 0.0000 0.0000 0.0000
Tm 0.7500 0.7500 0.7500
Os 0.5000 0.5000 0.5000
CELL_PARAMETERS angstrom
-4.7831 1.0499 -0.1095
-3.1166 -2.4746 2.8557
-2.1083 2.2199 3.8235
! energy above the lowest structure with this stoichiometry	202	meV/atom
! energy of formation	-189	meV per atom
! uncorrected energy	-6.289	eV/atom
! density of states at the Fermi level	3.972	states/eV per cell
! SG	F-43m
! calculated density	12.160	g/cm³
! spin magnetization	0.0	μB per formula unit



! BaVH | the Alexandria database | PBE | relaxed; values from VASP
&SYSTEM
  ibrav = 0, nat = 6, ntyp = 3
/
ATOMIC_SPECIES
H 1.01 H.upf
Ba 137.33 Ba.upf
V 50.94 V.upf
ATOMIC_POSITIONS crystal
H 0.1337 0.9216 0.8137
H 0.4313 0.6212 0.3137
Ba 0.9497 0.1044 0.3135
Ba 0.6153 0.4387 0.8135
V 0.2825 0.7715 0.0638
V 0.2825 0.7715 0.5636
CELL_PARAMETERS angstrom
-3.9604 3.6421 2.5505
-1.9396 -4.7664 -2.9916
0.1824 -2.4287 3.7512
! energy above the lowest structure with this stoichiometry	10	meV/atom
! uncorrected energy	-4.615	eV/atom
! density of states at the Fermi level	3.272	states/eV per cell
! SG	P2_1/m
! calculated density	4.544	g/cm³
! spin magnetization	0.0	μB per formula unit



! Be2Re2Ru | the Alexandria database | PBE | relaxed; values from VASP
&SYSTEM
  ibrav = 0, nat = 10, ntyp = 3
/
ATOMIC_SPECIES
Re 186.21 Re.upf
Be 9.01 Be.upf
Ru 101.07 Ru.upf
ATOMIC_POSITIONS crystal
Re 0.1690 0.6690 0.5000
Re 0.6690 0.8310 0.5000
Re 0.8310 0.3310 0.5000
Re 0.3310 0.1690 0.5000
Be 0.3779 0.8779 0.0000
Be 0.8779 0.6221 0.0000
Be 0.6221 0.1221 0.0000
Be 0.1221 0.3779 0.0000
Ru 0.0000 0.0000 0.0000
Ru 0.5000 0.5000 0.0000
CELL_PARAMETERS angstrom
-3.6148 2.7120 -4.1869
0.1833 -5.0949 -3.4583
-2.4828 -1.0727 1.4487
! energy of formation	-96	meV per atom
! uncorrected energy	-8.421	eV/atom
! density of states at the Fermi level	8.379	states/eV per cell
! SG	P4/mbm
! calculated density	14.019	g/cm³
! spin magnetization	0.0	μB per formula unit



! Sr2NpPbO6 | the Alexandria database | PBE | relaxed; values from VASP
&SYSTEM
  ibrav = 0, nat = 10, ntyp = 4
/
ATOMIC_SPECIES
Sr 87.62 Sr.upf
Np 237.00 Np.upf
Pb 207.20 Pb.upf
O 16.00 O.upf
ATOMIC_POSITIONS crystal
Sr 0.0284 0.5000 0.0000
Sr 0.0284 0.0000 0.5000
Np 0.6661 0.0000 0.0000
Pb 0.6083 0.5000 0.5000
O 0.7074 0.2287 0.2287
O 0.7074 0.2287 0.7713
O 0.1131 0.5000 0.5000
O 0.1728 0.0000 0.0000
O 0.7074 0.7713 0.7713
O 0.7074 0.7713 0.2287
CELL_PARAMETERS angstrom
4.5400 0.0000 0.0000
0.0000 6.2596 0.0000
0.0000 0.0000 6.2596
! uncorrected energy	-7.372	eV/atom
! density of states at the Fermi level	3.008	states/eV per cell
! uncorrected formation energy	-2.3955	eV per atom
! SG	P4mm
! calculated density	6.678	g/cm³
! spin magnetization	1.3	μB per formula unit



! CaDyGa | the Alexandria database | PBE | relaxed; values from VASP
&SYSTEM
  ibrav = 0, nat = 6, ntyp = 3
/
ATOMIC_SPECIES
Ca 40.08 Ca.upf
Dy 162.50 Dy.upf
Ga 69.72 Ga.upf
ATOMIC_POSITIONS crystal
Ca 0.6668 0.1667 0.3536
Ca 0.3332 0.8333 0.6464
Dy 0.6667 0.1667 0.9010
Dy 0.3333 0.8333 0.0990
Ga 0.0001 0.5000 0.8268
Ga 0.9999 0.5000 0.1732
CELL_PARAMETERS angstrom
-2.9745 -3.4899 -1.9807
1.9342 -4.3256 -1.5790
-1.1554 -3.2250 7.4214
! energy above the lowest structure with this stoichiometry	111	meV/atom
! energy of formation	-280	meV per atom
! uncorrected energy	-3.490	eV/atom
! density of states at the Fermi level	3.204	states/eV per cell
! SG	P-3m1
! calculated density	5.120	g/cm³
! spin magnetization	0.0	μB per formula unit